# Y2Co2Au | Alexandria via LeMat-Bulk | PBE-GGA | relaxed
# energy	-62.97	eV/cell
# calculated volume	20.00	Å³/atom
# ΔH_f (0 K)	-103	kJ/mol of formula units
data_Y2Co2Au
_chemical_formula_sum 'Y4 Co4 Au2'
_cell_length_a 3.4077
_cell_length_b 3.4077
_cell_length_c 17.2217
_cell_angle_alpha 90.00
_cell_angle_beta 90.00
_cell_angle_gamma 90.00
_symmetry_space_group_name_H-M 'I 4/m m m'
_symmetry_Int_Tables_number 139
_symmetry_space_group_name_Hall '-I 4 2'
loop_
_atom_site_label
_atom_site_type_symbol
_atom_site_fract_x
_atom_site_fract_y
_atom_site_fract_z
Y1 Y 0.0000 0.0000 0.1139
Co1 Co 0.0000 0.5000 0.2500
Au1 Au 0.0000 0.0000 0.5000

***

# YCoAu | Alexandria via LeMat-Bulk | PBE-GGA | relaxed
# energy	-63.76	eV/cell
# calculated volume	23.53	Å³/atom
# ΔH_f (0 K)	88	kJ/mol of formula units
data_YCoAu
_chemical_formula_sum 'Y4 Co4 Au4'
_cell_length_a 6.5603
_cell_length_b 6.5603
_cell_length_c 6.5603
_cell_angle_alpha 90.00
_cell_angle_beta 90.00
_cell_angle_gamma 90.00
_symmetry_space_group_name_H-M 'F -4 3 m'
_symmetry_Int_Tables_number 216
_symmetry_space_group_name_Hall 'F -4 2 3'
loop_
_atom_site_label
_atom_site_type_symbol
_atom_site_fract_x
_atom_site_fract_y
_atom_site_fract_z
Y1 Y 0.0000 0.0000 0.0000
Co1 Co 0.2500 0.2500 0.2500
Au1 Au 0.2500 0.2500 0.7500

***

# YCoAu | Alexandria via LeMat-Bulk | PBE-GGA | relaxed
# energy	-69.05	eV/cell
# calculated volume	20.66	Å³/atom
# ΔH_f (0 K)	-40	kJ/mol of formula units
data_YCoAu
_chemical_formula_sum 'Y4 Co4 Au4'
_cell_length_a 6.2823
_cell_length_b 6.2823
_cell_length_c 6.2823
_cell_angle_alpha 90.00
_cell_angle_beta 90.00
_cell_angle_gamma 90.00
_symmetry_space_group_name_H-M 'F -4 3 m'
_symmetry_Int_Tables_number 216
_symmetry_space_group_name_Hall 'F -4 2 3'
loop_
_atom_site_label
_atom_site_type_symbol
_atom_site_fract_x
_atom_site_fract_y
_atom_site_fract_z
Y1 Y 0.0000 0.0000 0.0000
Co1 Co 0.2500 0.2500 0.7500
Au1 Au 0.0000 0.0000 0.5000

***

# YCo2Au2 | Alexandria via LeMat-Bulk | PBE-GGA | relaxed
# energy	-19.80	eV/cell
# calculated volume	25.64	Å³/atom
# ΔH_f (0 K)	717	kJ/mol of formula units
data_YCo2Au2
_chemical_formula_sum 'Y1 Co2 Au2'
_cell_length_a 5.2979
_cell_length_b 5.2979
_cell_length_c 4.5681
_cell_angle_alpha 90.00
_cell_angle_beta 90.00
_cell_angle_gamma 90.00
_symmetry_space_group_name_H-M 'P 4/m m m'
_symmetry_Int_Tables_number 123
_symmetry_space_group_name_Hall '-P 4 2'
loop_
_atom_site_label
_atom_site_type_symbol
_atom_site_fract_x
_atom_site_fract_y
_atom_site_fract_z
Y1 Y 0.0000 0.0000 0.0000
Co1 Co 0.0000 0.0000 0.5000
Co2 Co 0.5000 0.5000 0.5000
Au1 Au 0.0000 0.5000 0.0000